Crystalline CsNaTlAg2 at its relaxed geometry, computed with PBE-GGA.

Cell and atoms, written as POSCAR:
```
CsNaTlAg2
1.0
5.567 0.000 0.000
0.000 5.567 0.000
0.000 0.000 5.909
Cs Na Tl Ag
1 1 1 2
Direct
0.000 0.000 0.000 Cs
0.500 0.500 0.000 Na
0.500 0.500 0.500 Tl
0.000 0.500 0.500 Ag
0.500 0.000 0.500 Ag
```

## Properties
Energy relative to the elements ... 61.7 kJ/mol of formula units
Space group ... P4/mmm
Total moment ... 0.00 μB/f.u.
DOS(E_F) ... 0.398 states/eV/atom

---

Crystalline KSi2Pb at its relaxed geometry, computed with PBE-GGA.

Cell and atoms, written as POSCAR:
```
KSi2Pb
1.0
4.607 0.000 0.000
0.000 4.607 0.000
0.000 0.000 9.312
K Si Pb
2 4 2
Direct
0.000 0.000 0.000 K
0.500 0.500 0.500 K
0.000 0.500 0.250 Si
0.000 0.500 0.750 Si
0.500 0.000 0.250 Si
0.500 0.000 0.750 Si
0.000 0.000 0.500 Pb
0.500 0.500 0.000 Pb
```

## Properties
Space group ... I4/mmm
Total moment ... 0.00 μB/f.u.
DOS(E_F) ... 0.416 states/eV/atom
E_form (uncorrected) ... 0.577 eV per atom

---

Crystalline DyFe2Cl8 at its relaxed geometry, computed with PBE-GGA.

Cell and atoms, written as POSCAR:
```
DyFe2Cl8
1.0
6.478 -4.609 0.000
6.478 4.609 0.000
-0.510 0.000 6.294
Dy Fe Cl
1 2 8
Direct
0.000 0.000 0.000 Dy
0.187 0.187 0.639 Fe
0.813 0.813 0.361 Fe
0.097 0.715 0.232 Cl
0.169 0.169 0.276 Cl
0.285 0.903 0.768 Cl
0.346 0.346 0.760 Cl
0.654 0.654 0.240 Cl
0.715 0.097 0.232 Cl
0.831 0.831 0.724 Cl
0.903 0.285 0.768 Cl
```

## Properties
Relative energy among the computed polymorphs ... 0.0 meV/atom
Space group ... C2/m
Total moment ... 9.00 μB/f.u.
DOS(E_F) ... 0.469 states/eV/atom
E_form (uncorrected) ... -1.279 eV per atom

---

Crystalline Nd6P3S2Cl at its relaxed geometry, computed with PBE-GGA.

Cell and atoms, written as POSCAR:
```
Nd6P3S2Cl
1.0
9.042 -2.059 0.000
9.042 2.059 0.000
-1.980 0.000 8.070
Nd P S Cl
6 3 2 1
Direct
0.002 0.002 0.229 Nd
0.325 0.325 0.417 Nd
0.334 0.334 0.912 Nd
0.666 0.666 0.088 Nd
0.675 0.675 0.583 Nd
0.998 0.998 0.771 Nd
0.164 0.164 0.334 P
0.500 0.500 0.000 P
0.836 0.836 0.666 P
0.165 0.165 0.830 S
0.835 0.835 0.170 S
0.500 0.500 0.500 Cl
```

## Properties
Space group ... C2/m
Total moment ... 0.00 μB/f.u.
DOS(E_F) ... 0.379 states/eV/atom
E_form (uncorrected) ... -1.773 eV per atom

---

- Look up the DOS(E_F) of the second one.
  0.416 states/eV/atom